[1]
The following is a PBE calculation of crystalline Sr2P2I at its relaxed geometry, from the Alexandria database.

a b c (Å): 4.3340 8.4593 9.8340
angles (deg): 115.48 102.73 90.00
Fractional positions:
P (0.2536, 0.9632, 0.4265)
P (0.8271, 0.5368, 0.5735)
P (0.7464, 0.0368, 0.5735)
P (0.1729, 0.4632, 0.4265)
Sr (0.6532, 0.1531, 0.3062)
Sr (0.3470, 0.3469, 0.6938)
Sr (0.3468, 0.8469, 0.6938)
Sr (0.6530, 0.6531, 0.3062)
I (0.3459, 0.2500, 0.0000)
I (0.6541, 0.7500, 0.0000)

## Properties
DFT total energy ... -21.2 eV per formula unit
N(E_F) ... 2.10 states/eV/cell
E_form (uncorrected) ... -1093 meV/atom
Total magnetic moment ... 0.00 μB per formula unit
Excess energy over the best structure of this formula in the dataset ... 0.0 meV per atom
Symmetry ... Imma (74)


[2]
The following is a PBE calculation of crystalline Sr4P12I at its relaxed geometry, from the Alexandria database.

a b c (Å): 8.5345 8.5346 8.5346
angles (deg): 109.47 109.47 109.47
Fractional positions:
Sr (0.0000, 0.0000, 0.5000)
Sr (0.5000, 0.0000, 0.0000)
Sr (0.5000, 0.5000, 0.5000)
Sr (0.0000, 0.5000, 0.0000)
P (0.4996, 0.1095, 0.3901)
P (0.3901, 0.4995, 0.1095)
P (0.1095, 0.3901, 0.4995)
P (0.5004, 0.8905, 0.6099)
P (0.3901, 0.2806, 0.8905)
P (0.6099, 0.5005, 0.8905)
P (0.1095, 0.6099, 0.7194)
P (0.8905, 0.6099, 0.5005)
P (0.6099, 0.7194, 0.1095)
P (0.7194, 0.1095, 0.6099)
P (0.8905, 0.3901, 0.2806)
P (0.2806, 0.8905, 0.3901)
I (0.0000, 0.0000, 0.0000)

## Properties
DFT total energy ... -82.5 eV per formula unit
N(E_F) ... 4.01 states/eV/cell
E_form (uncorrected) ... -548 meV/atom
Total magnetic moment ... 0.00 μB per formula unit
Symmetry ... Im-3 (204)


[3]
The following is a PBE calculation of crystalline Sr2PI at its relaxed geometry, from the Alexandria database.

a b c (Å): 4.4494 7.7967 8.1995
angles (deg): 90.00 90.00 90.00
Fractional positions:
I (0.2500, 0.2500, 0.5740)
I (0.7500, 0.7500, 0.4260)
Sr (0.7500, 0.5120, 0.8037)
Sr (0.7500, 0.9880, 0.8037)
Sr (0.2500, 0.0120, 0.1963)
Sr (0.2500, 0.4880, 0.1963)
P (0.2500, 0.7500, 0.9198)
P (0.7500, 0.2500, 0.0802)

## Properties
DFT total energy ... -15.7 eV per formula unit
N(E_F) ... 0.00 states/eV/cell
E_form (uncorrected) ... -1352 meV/atom
Total magnetic moment ... 0.00 μB per formula unit
Symmetry ... Pmmn (59)


[4]
The following is a PBE calculation of crystalline Sr3P2I at its relaxed geometry, from the Alexandria database.

a b c (Å): 8.1081 8.1089 7.5129
angles (deg): 90.00 90.00 120.00
Site moments in Bohr magnetons follow the coordinates.
Fractional positions:
Sr (0.4999, 0.4035, 0.7500)  0.01
Sr (0.0964, 0.5965, 0.7500)  0.01
Sr (0.0966, 0.0000, 0.2500)  0.01
Sr (0.5001, 0.5965, 0.2500)  0.01
Sr (0.9036, 0.4035, 0.2500)  0.01
Sr (0.9034, 0.0000, 0.7500)  0.01
P (0.8334, 0.6667, 0.5000)  0.06
P (0.1666, 0.3333, 0.5000)  0.06
P (0.1666, 0.3333, 0.0000)  0.06
P (0.8334, 0.6667, 0.0000)  0.06
I (0.4998, 0.0000, 0.7500)  0.00
I (0.5002, 0.0000, 0.2500)  0.00

## Properties
DFT total energy ... -24.0 eV per formula unit
N(E_F) ... 4.84 states/eV/cell
E_form (uncorrected) ... -1104 meV/atom
Total magnetic moment ... 0.33 μB per formula unit
Symmetry ... P6_3/mcm (193)


[5]
The following is a PBE calculation of crystalline Sr3PI3 at its relaxed geometry, from the Alexandria database.

a b c (Å): 4.5933 9.4378 13.0609
angles (deg): 92.24 90.00 90.00
Fractional positions:
I (0.7500, 0.6229, 0.6263)
I (0.2500, 0.8787, 0.8750)
I (0.7500, 0.1213, 0.1250)
I (0.2500, 0.3771, 0.3737)
I (0.7500, 0.6216, 0.1192)
I (0.2500, 0.3784, 0.8808)
Sr (0.7500, 0.6619, 0.3704)
Sr (0.2500, 0.9084, 0.6094)
Sr (0.7500, 0.1323, 0.8571)
Sr (0.7500, 0.0916, 0.3906)
Sr (0.2500, 0.8677, 0.1429)
Sr (0.2500, 0.3381, 0.6296)
P (0.7500, 0.1260, 0.6258)
P (0.2500, 0.8740, 0.3742)

## Properties
DFT total energy ... -26.0 eV per formula unit
N(E_F) ... 0.00 states/eV/cell
E_form (uncorrected) ... -1557 meV/atom
Total magnetic moment ... 0.00 μB per formula unit
Symmetry ... P2_1/m (11)


[6]
The following is a PBE calculation of crystalline Sr2P2I at its relaxed geometry, from the Alexandria database.

a b c (Å): 8.5459 8.5459 3.9530
angles (deg): 90.00 90.00 90.00
Fractional positions:
Sr (0.3151, 0.1849, 0.5000)
Sr (0.1849, 0.6849, 0.5000)
Sr (0.6849, 0.8151, 0.5000)
Sr (0.8151, 0.3151, 0.5000)
P (0.9106, 0.5894, 0.0000)
P (0.4106, 0.9106, 0.0000)
P (0.0894, 0.4106, 0.0000)
P (0.5894, 0.0894, 0.0000)
I (0.5000, 0.5000, 0.0000)
I (0.0000, 0.0000, 0.0000)

## Properties
DFT total energy ... -20.5 eV per formula unit
N(E_F) ... 4.83 states/eV/cell
E_form (uncorrected) ... -955 meV/atom
Total magnetic moment ... 0.00 μB per formula unit
Excess energy over the best structure of this formula in the dataset ... 138.1 meV per atom
Symmetry ... P4/mbm (127)


[7]
The following is a PBE calculation of crystalline Sr4PI5 at its relaxed geometry, from the Alexandria database.

a b c (Å): 4.6291 9.2907 10.4823
angles (deg): 103.65 102.76 90.00
Fractional positions:
I (0.1701, 0.8399, 0.3401)
I (0.1670, 0.3401, 0.3340)
I (0.8330, 0.6599, 0.6660)
I (0.5000, 0.5000, 0.0000)
I (0.8299, 0.1601, 0.6599)
Sr (0.3470, 0.9124, 0.6941)
Sr (0.0009, 0.2243, 0.0018)
Sr (0.9991, 0.7757, 0.9982)
Sr (0.6530, 0.0876, 0.3059)
P (0.5000, 0.0000, 0.0000)

## Properties
DFT total energy ... -35.9 eV per formula unit
N(E_F) ... 0.00 states/eV/cell
E_form (uncorrected) ... -1598 meV/atom
Total magnetic moment ... 0.00 μB per formula unit
Symmetry ... C2/m (12)


[8]
The following is a PBE calculation of crystalline SrPI2 at its relaxed geometry, from the Alexandria database.

a b c (Å): 5.4713 5.4713 10.8214
angles (deg): 75.36 75.36 90.00
Fractional positions:
Sr (0.0000, 0.0000, 0.0000)
Sr (0.7500, 0.2500, 0.5000)
I (0.3750, 0.4084, 0.7500)
I (0.1584, 0.6250, 0.2500)
I (0.5916, 0.1250, 0.2500)
I (0.8750, 0.8416, 0.7500)
P (0.5000, 0.5000, 0.0000)
P (0.2500, 0.7500, 0.5000)

## Properties
DFT total energy ... -11.4 eV per formula unit
N(E_F) ... 3.89 states/eV/cell
E_form (uncorrected) ... -314 meV/atom
Total magnetic moment ... 0.00 μB per formula unit
Excess energy over the best structure of this formula in the dataset ... 51.8 meV per atom
Symmetry ... I-42d (122)